HfCoTe PBE-GGA relaxed; E_form (uncorrected) = -1.53 eV per formula unit; symmetry = No. 63; N(E_F) = 2.4 states/eV/f.u.
1.0
1.7612 -9.8788 0.0000
1.7612 9.8788 0.0000
0.0000 0.0000 3.7745
Hf Co Te
2 2 2
direct
0.0732 0.9268 0.7500
0.9268 0.0732 0.2500
0.4659 0.5341 0.7500
0.5341 0.4659 0.2500
0.3371 0.6629 0.7500
0.6629 0.3371 0.2500